13
Lattice="4.503 8.024 0.961 -4.503 8.024 0.961 0.000 2.781 6.021" Properties=species:S:1:pos:R:3 comment="Dy3Er8Sc2 PBE optimized geometry" dos_ef_per_ev_fu=15.466 pbc="T T T"
Dy 0.000 1.391 3.010
Dy -2.958 8.024 0.961
Dy 2.958 8.024 0.961
Er 0.000 9.243 6.552
Er 1.630 11.204 3.910
Er 0.000 15.727 7.491
Er 0.000 3.103 0.452
Er 1.630 7.626 4.033
Er 0.000 9.587 1.391
Er -1.630 11.204 3.910
Er -1.630 7.626 4.033
Sc 0.000 4.711 3.488
Sc 0.000 14.119 4.455

---

4
Lattice="-4.078 2.219 -1.652 -4.354 -0.972 2.092 -2.230 3.424 2.754" Properties=species:S:1:pos:R:3 comment="Lu2CdRu PBE optimized geometry" dos_ef_per_ev_fu=3.577 pbc="T T T"
Lu -2.665 1.168 0.798
Lu -7.996 3.503 2.395
Cd -5.331 2.336 1.597
Ru 0.000 0.000 0.000

---

8
Lattice="6.725 -0.004 -0.001 2.731 6.184 0.002 0.838 0.728 6.775" Properties=species:S:1:pos:R:3 comment="BSbSe2 PBE optimized geometry" formation_energy_uncorrected_ev_per_atom=-0.06 dos_ef_per_ev_fu=0.000 pbc="T T T"
Se 8.146 5.716 0.561
Se 1.086 0.720 4.536
Se 4.847 4.273 6.528
Se 7.130 4.509 3.618
Sb 5.018 5.702 2.547
Sb 3.454 3.234 2.307
B 8.361 4.581 2.133
B 3.695 5.786 6.141

---

6
Lattice="-2.744 1.252 -3.346 0.455 -2.212 -4.233 -1.447 -3.542 2.894" Properties=species:S:1:pos:R:3 comment="CrRu2 PBE optimized geometry" dos_ef_per_ev_fu=1.674 pbc="T T T"
Ru -2.706 -3.118 -1.979
Ru -2.698 -2.469 -4.776
Ru -1.039 -2.034 0.091
Ru -1.031 -1.385 -2.705
Cr -2.058 0.939 -2.510
Cr -0.686 0.313 -0.837

---

Number 1: calculated total energy -4.606 eV per atom. Number 2: calculated total energy -5.159 eV per atom. Number 3: calculated total energy -4.499 eV per atom. Number 4: calculated total energy -9.298 eV per atom.